No. 1
TiAlGe: relaxed, PBE.

Lattice parameters (Å, degrees): 5.0430 4.9791 5.1626 75.68 60.76 59.57
Closest atoms and distances in Å follow each position.
Sites, in units of the cell vectors:
Ge: 0.9866 0.0269 0.0000  5 Ti 2.67-2.92, 5 Al 2.69-2.90
Ge: 0.2366 0.5269 0.5000  5 Ti 2.67-2.92, 5 Al 2.69-2.90
Al: 0.6487 0.7026 0.0000  5 Ti 2.68-2.89, 5 Ge 2.69-2.90
Al: 0.8987 0.2026 0.5000  5 Ti 2.68-2.89, 5 Ge 2.69-2.90
Ti: 0.3141 0.3719 0.0000  5 Ge 2.67-2.92, 5 Al 2.68-2.89
Ti: 0.5641 0.8719 0.5000  5 Ge 2.67-2.92, 5 Al 2.68-2.89

---

No. 2
Ti3Al2Ge: relaxed, PBE.

Lattice parameters (Å, degrees): 3.9538 6.3796 8.9268 82.05 63.70 71.84
Closest atoms and distances in Å follow each position.
Sites, in units of the cell vectors:
Ge: 0.3459 0.3082 0.0000  2 Al 2.72, 8 Ti 2.75-2.88
Ge: 0.6541 0.6918 0.0000  2 Al 2.72, 8 Ti 2.75-2.88
Ti: 0.5940 0.3359 0.2380  3 Ge 2.75-2.88, 5 Al 2.79-2.92, 4 Ti 2.80-2.84
Ti: 0.2421 0.0000 0.2580  6 Al 2.77-2.86, 2 Ge 2.78, 4 Ti 2.84-2.85
Ti: 0.7579 0.0000 0.7420  6 Al 2.77-2.86, 2 Ge 2.78, 4 Ti 2.84-2.85
Ti: 0.4060 0.6641 0.7620  3 Ge 2.75-2.88, 5 Al 2.79-2.92, 4 Ti 2.80-2.84
Ti: 0.0701 0.3359 0.7620  3 Ge 2.75-2.88, 5 Al 2.79-2.92, 4 Ti 2.80-2.85
Ti: 0.9299 0.6641 0.2380  3 Ge 2.75-2.88, 5 Al 2.79-2.92, 4 Ti 2.80-2.85
Al: 0.0000 0.0000 0.0000  4 Ge 2.72, 8 Ti 2.79-2.86
Al: 0.1691 0.6615 0.5000  4 Al 2.78-2.85, 8 Ti 2.82-2.88
Al: 0.8309 0.3385 0.5000  4 Al 2.78-2.85, 8 Ti 2.82-2.88
Al: 0.5000 0.0000 0.5000  8 Ti 2.77-2.92, 4 Al 2.85

---

No. 3
TiAlGe: relaxed, PBE.

Lattice parameters (Å, degrees): 3.8448 3.8448 4.9019 66.91 66.91 60.00
Closest atoms and distances in Å follow each position.
Sites, in units of the cell vectors:
Ge: 0.3675 0.3675 0.8975  3 Al 2.47, 3 Ti 2.66
Al: 0.1174 0.1174 0.6477  3 Ge 2.47
Ti: 0.5886 0.5886 0.2342  4 Ge 2.66-2.90, 3 Al 2.86

---

No. 4
Ti2AlGe4: relaxed, PBE.

Lattice parameters (Å, degrees): 4.8277 4.8277 7.2727 70.62 70.62 90.00
Closest atoms and distances in Å follow each position.
Sites, in units of the cell vectors:
Ge: 0.1964 0.1964 0.6071  1 Al 2.52, 1 Ti 2.62
Ge: 0.5000 0.0000 0.0000  2 Al 2.41
Ge: 0.8036 0.8036 0.3929  1 Al 2.52, 1 Ti 2.62
Ge: 0.0000 0.5000 0.0000  2 Al 2.41
Al: 0.0000 0.0000 0.0000  6 Ge 2.41-2.52
Ti: 0.4008 0.4008 0.1985  1 Ti 2.55, 5 Ge 2.62-2.73
Ti: 0.5992 0.5992 0.8015  1 Ti 2.55, 5 Ge 2.62-2.73

---

E_form readings, ordered: -0.36 -0.43 -0.03 0.38 eV/atom
Magnetic moment readings, ordered: 0.0 0.0 1.0 0.0 μB per formula unit